# 1
16
Lattice="7.457 0.000 0.000 0.000 7.457 0.000 0.000 0.000 7.457" Properties=species:S:1:pos:R:3 comment="PBEsol SrTlHg2, optimized geometry" dos_ef_per_ev_atom=0.51 delta_e_f_ev_per_atom=-0.358 magmom_total_mub_per_fu=0.0 pbc="T T T"
Sr 0.000 0.000 0.000
Sr 0.000 3.728 3.728
Sr 3.728 0.000 3.728
Sr 3.728 3.728 0.000
Tl 1.864 1.864 1.864
Tl 1.864 5.593 5.593
Tl 5.593 1.864 5.593
Tl 5.593 5.593 1.864
Hg 0.000 0.000 3.728
Hg 0.000 3.728 0.000
Hg 1.864 1.864 5.593
Hg 1.864 5.593 1.864
Hg 3.728 0.000 0.000
Hg 3.728 3.728 3.728
Hg 5.593 1.864 1.864
Hg 5.593 5.593 5.593

***

# 2
6
Lattice="0.000 4.403 4.403 4.403 0.000 4.403 4.403 4.403 0.000" Properties=species:S:1:pos:R:3 comment="PBEsol La4AuBr, optimized geometry" dos_ef_per_ev_atom=1.49 magmom_total_mub_per_fu=0.0 e_form_raw_mev_per_atom=84 pbc="T T T"
La 1.100 1.100 1.100
La 3.303 3.303 1.100
La 3.303 1.100 3.303
La 1.100 3.303 3.303
Au 4.403 4.403 4.403
Br 6.605 6.605 6.605

***

# 3
8
Lattice="3.949 0.000 0.000 0.000 3.949 0.000 0.000 0.000 7.920" Properties=species:S:1:pos:R:3 comment="PBEsol ReSbIr2, optimized geometry" dos_ef_per_ev_atom=0.60 magmom_total_mub_per_fu=0.0 e_form_raw_mev_per_atom=281 pbc="T T T"
Re 0.000 0.000 0.000
Re 1.975 1.975 3.960
Sb 0.000 0.000 3.960
Sb 1.975 1.975 0.000
Ir 0.000 1.975 1.980
Ir 0.000 1.975 5.940
Ir 1.975 0.000 1.980
Ir 1.975 0.000 5.940

***

# 4
8
Lattice="3.940 0.000 0.000 0.000 3.940 0.000 0.000 0.000 9.510" Properties=species:S:1:pos:R:3 comment="PBEsol LaMo2Ir, optimized geometry" dos_ef_per_ev_atom=0.87 delta_e_f_ev_per_atom=0.543 magmom_total_mub_per_fu=0.0 pbc="T T T"
La 0.000 0.000 0.000
La 1.970 1.970 4.755
Mo 0.000 1.970 2.378
Mo 0.000 1.970 7.133
Mo 1.970 0.000 2.378
Mo 1.970 0.000 7.133
Ir 0.000 0.000 4.755
Ir 1.970 1.970 0.000

***

# 5
5
Lattice="4.800 0.000 0.000 0.000 4.800 0.000 0.000 0.000 5.577" Properties=species:S:1:pos:R:3 comment="PBEsol HfMgAgCl2, optimized geometry" dos_ef_per_ev_atom=0.71 magmom_total_mub_per_fu=0.0 e_form_raw_mev_per_atom=-325 pbc="T T T"
Hf 0.000 0.000 0.000
Mg 2.400 2.400 2.789
Ag 0.000 0.000 2.789
Cl 0.000 2.400 0.000
Cl 2.400 0.000 0.000

***

# 6
12
Lattice="2.585 0.000 0.000 -1.292 2.238 0.000 0.000 0.000 23.452" Properties=species:S:1:pos:R:3 comment="PBEsol Mn2BePt, optimized geometry" dos_ef_per_ev_atom=0.88 delta_e_f_ev_per_atom=0.013 magmom_total_mub_per_fu=0.0 pbc="T T T"
Mn 0.000 0.000 0.000
Mn 0.000 0.000 6.031
Mn 0.000 1.492 15.635
Mn 0.000 1.492 21.666
Mn 1.292 0.746 7.817
Mn 1.292 0.746 13.848
Be 0.000 0.000 11.978
Be 0.000 1.492 4.161
Be 1.292 0.746 19.796
Pt 0.000 0.000 17.900
Pt 0.000 1.492 10.082
Pt 1.292 0.746 2.265

***

# 7
4
Lattice="2.977 0.000 0.000 0.000 2.977 0.000 0.000 0.000 9.506" Properties=species:S:1:pos:R:3 comment="PBEsol SbMoCl2, optimized geometry" dos_ef_per_ev_atom=0.74 magmom_total_mub_per_fu=0.0 e_form_raw_mev_per_atom=36 pbc="T T T"
Sb 0.000 0.000 0.000
Mo 0.000 0.000 4.753
Cl 1.488 1.488 3.292
Cl 1.488 1.488 6.213

***

# 8
12
Lattice="4.082 0.000 0.000 -2.041 3.535 0.000 0.000 0.000 28.017" Properties=species:S:1:pos:R:3 comment="PBEsol SrTe2P, optimized geometry" dos_ef_per_ev_atom=0.38 magmom_total_mub_per_fu=0.0 e_form_raw_mev_per_atom=-67 pbc="T T T"
Sr 0.000 0.000 0.000
Sr 0.000 2.357 18.678
Sr 2.041 1.178 9.339
Te 0.000 0.000 3.188
Te 0.000 0.000 24.829
Te 0.000 2.357 15.490
Te 0.000 2.357 21.866
Te 2.041 1.178 6.151
Te 2.041 1.178 12.527
P 0.000 0.000 14.008
P 0.000 2.357 4.669
P 2.041 1.178 23.347

***

# 9
28
Lattice="5.554 -5.558 0.000 5.554 5.558 0.000 0.000 0.000 6.082" Properties=species:S:1:pos:R:3 comment="PBEsol LiAg2F4, optimized geometry" dos_ef_per_ev_atom=0.87 magmom_total_mub_per_fu=0.2 e_form_raw_mev_per_atom=-1521 pbc="T T T"
Li 2.777 0.000 0.143
Li 2.777 0.000 3.184
Li 8.330 0.000 2.898
Li 8.330 0.000 5.939
Ag 5.554 4.565 4.562
Ag 3.773 2.779 1.521
Ag 7.334 2.779 1.521
Ag 5.554 0.993 4.562
Ag 5.554 -0.993 1.521
Ag 3.773 -2.779 4.562
Ag 7.334 -2.779 4.562
Ag 5.554 -4.565 1.521
F 1.165 1.001 3.347
F 1.777 1.613 0.305
F 1.165 -1.001 0.306
F 3.777 1.613 3.346
F 1.777 -1.613 3.346
F 4.388 1.001 0.306
F 3.777 -1.613 0.305
F 4.388 -1.001 3.347
F 6.719 1.001 2.735
F 7.330 1.613 5.777
F 6.719 -1.001 5.776
F 9.331 1.613 2.736
F 7.330 -1.613 2.736
F 9.942 1.001 5.776
F 9.331 -1.613 5.777
F 9.942 -1.001 2.735

***

# 10
8
Lattice="3.836 0.000 0.000 0.000 4.706 0.000 0.000 0.000 8.776" Properties=species:S:1:pos:R:3 comment="PBEsol YZn2Cl, optimized geometry" dos_ef_per_ev_atom=0.31 magmom_total_mub_per_fu=0.0 e_form_raw_mev_per_atom=-452 pbc="T T T"
Y 0.000 0.000 0.000
Y 1.918 2.353 4.388
Zn 0.000 0.000 4.371
Zn 0.000 2.353 6.690
Zn 1.918 0.000 2.301
Zn 1.918 2.353 8.759
Cl 0.000 2.353 2.311
Cl 1.918 0.000 6.700

***

# 11
4
Lattice="4.595 0.000 0.000 0.000 2.867 0.000 0.000 0.000 4.914" Properties=species:S:1:pos:R:3 comment="PBEsol TiAu, optimized geometry" dos_ef_per_ev_atom=0.91 delta_e_f_ev_per_atom=-0.425 magmom_total_mub_per_fu=0.5 pbc="T T T"
Ti 1.149 0.000 0.907
Ti 3.446 0.000 4.007
Au 1.149 1.433 3.335
Au 3.446 1.433 1.578

***

# 12
10
Lattice="6.499 0.000 0.000 0.000 6.499 0.000 0.000 0.000 8.640" Properties=species:S:1:pos:R:3 comment="PBEsol Ba2Hg2Sb, optimized geometry" dos_ef_per_ev_atom=0.88 magmom_total_mub_per_fu=0.0 e_form_raw_mev_per_atom=-440 pbc="T T T"
Ba 0.000 3.249 2.160
Ba 0.000 3.249 6.480
Ba 3.249 0.000 2.160
Ba 3.249 0.000 6.480
Hg 0.000 0.000 1.355
Hg 0.000 0.000 7.285
Hg 3.249 3.249 2.965
Hg 3.249 3.249 5.675
Sb 0.000 0.000 4.320
Sb 3.249 3.249 0.000

***

# 13
12
Lattice="6.652 0.000 0.000 0.000 6.654 0.000 -0.162 0.000 6.653" Properties=species:S:1:pos:R:3 comment="PBEsol Bi3SbPt2, optimized geometry" dos_ef_per_ev_atom=0.29 magmom_total_mub_per_fu=0.0 e_form_raw_mev_per_atom=-305 pbc="T T T"
Bi 0.717 0.000 2.459
Bi 2.356 5.053 5.792
Bi 2.432 1.721 4.204
Bi 4.058 5.048 2.449
Bi 4.134 1.726 0.860
Bi 5.773 3.327 4.194
Sb 0.803 3.338 0.830
Sb 5.687 0.011 5.823
Pt 1.423 0.908 6.653
Pt 1.569 4.163 3.254
Pt 4.921 0.835 3.399
Pt 5.067 4.235 0.000

***

# 14
12
Lattice="11.123 0.000 0.000 -5.562 9.633 0.000 0.000 0.000 4.028" Properties=species:S:1:pos:R:3 comment="PBEsol Ba3Pt, optimized geometry" dos_ef_per_ev_atom=1.29 delta_e_f_ev_per_atom=0.158 magmom_total_mub_per_fu=0.0 pbc="T T T"
Ba -2.781 4.817 0.000
Ba 0.000 3.211 1.343
Ba -2.781 8.028 1.343
Ba 2.781 1.606 2.686
Ba 5.562 0.000 0.000
Ba 2.781 4.817 0.000
Ba 2.781 8.028 1.343
Ba 8.343 1.606 2.686
Ba 5.562 6.422 2.686
Pt 0.000 0.000 0.000
Pt 0.000 6.422 2.686
Pt 5.562 3.211 1.343

***

# 15
12
Lattice="4.241 0.000 0.000 0.000 12.003 0.000 0.000 0.000 3.693" Properties=species:S:1:pos:R:3 comment="PBEsol NaPt2, optimized geometry" dos_ef_per_ev_atom=0.79 delta_e_f_ev_per_atom=0.065 magmom_total_mub_per_fu=0.0 pbc="T T T"
Na 0.000 0.968 0.923
Na 0.000 11.036 2.770
Na 2.121 5.034 2.770
Na 2.121 6.969 0.923
Pt 0.000 3.055 2.770
Pt 0.000 5.002 0.923
Pt 0.000 7.001 2.770
Pt 0.000 8.948 0.923
Pt 2.121 1.000 2.770
Pt 2.121 2.946 0.923
Pt 2.121 9.057 2.770
Pt 2.121 11.004 0.923

***

# 16
64
Lattice="7.004 0.000 0.000 0.000 10.125 0.000 -0.182 0.000 7.029" Properties=species:S:1:pos:R:3 comment="PBEsol Li15H9N8, optimized geometry" dos_ef_per_ev_atom=0.00 magmom_total_mub_per_fu=0.0 pbc="T T T"
Li 0.000 1.105 0.000
Li -0.091 9.020 3.515
Li 0.008 3.929 0.134
Li -0.083 6.196 3.648
Li -0.040 1.118 4.014
Li 0.051 9.007 0.499
Li 1.655 1.119 2.110
Li 1.564 9.006 5.625
Li 1.802 2.485 0.375
Li 1.671 3.788 5.455
Li 1.762 6.337 1.940
Li 1.711 7.640 3.890
Li 1.714 1.214 5.495
Li 1.805 8.911 1.980
Li 2.005 4.066 2.019
Li 1.914 6.059 5.534
Li 3.441 3.894 3.889
Li 3.532 6.231 0.375
Li 3.615 3.900 0.091
Li 3.524 6.225 3.606
Li 3.834 1.442 0.264
Li 3.743 8.683 3.778
Li 4.860 4.095 1.987
Li 4.769 6.030 5.502
Li 5.108 1.342 5.486
Li 5.198 8.783 1.971
Li 5.150 3.719 5.587
Li 5.241 6.406 2.072
Li 5.483 0.994 2.028
Li 5.392 9.131 5.543
H -0.057 3.060 4.770
H 0.034 7.065 1.255
H 0.075 3.064 2.600
H -0.016 7.061 6.115
H 0.948 4.568 3.690
H 1.039 5.556 0.175
H 2.557 0.251 3.832
H 2.648 9.873 0.317
H 3.288 2.078 4.711
H 3.379 8.047 1.197
H 3.593 2.062 2.609
H 3.502 8.063 6.124
H 4.420 0.510 3.690
H 4.511 9.615 0.175
H 5.903 4.395 3.787
H 5.994 5.730 0.272
H 6.164 2.662 1.338
H 6.073 7.463 4.852
N -0.047 2.469 5.627
N 0.044 7.656 2.113
N 0.071 2.428 1.785
N -0.020 7.697 5.300
N 1.685 0.136 0.270
N 1.594 9.989 3.785
N 1.873 4.933 0.212
N 1.782 5.192 3.726
N 3.396 2.684 1.801
N 3.305 7.441 5.316
N 3.376 2.593 5.613
N 3.467 7.532 2.099
N 5.230 5.025 0.237
N 5.139 5.100 3.751
N 5.389 0.044 0.245
N 5.298 10.081 3.759

***

# 17
8
Lattice="5.473 0.000 0.000 0.000 7.627 0.000 0.000 0.000 3.815" Properties=species:S:1:pos:R:3 comment="PBEsol InCuSe2, optimized geometry" dos_ef_per_ev_atom=0.36 magmom_total_mub_per_fu=0.0 e_form_raw_mev_per_atom=171 pbc="T T T"
In 0.000 0.000 0.000
In 2.737 3.814 0.000
Cu 0.000 3.814 0.000
Cu 2.737 0.000 0.000
Se 1.368 1.907 1.907
Se 1.368 5.720 1.907
Se 4.105 1.907 1.907
Se 4.105 5.720 1.907

***

# 18
4
Lattice="3.078 0.000 0.000 0.000 4.496 0.000 0.000 0.000 4.593" Properties=species:S:1:pos:R:3 comment="PBEsol FeSiSe2, optimized geometry" dos_ef_per_ev_atom=1.06 magmom_total_mub_per_fu=2.5 e_form_raw_mev_per_atom=403 pbc="T T T"
Fe 0.000 0.000 0.000
Si 0.000 2.248 2.297
Se 1.539 0.000 2.297
Se 1.539 2.248 0.000

***

# 19
5
Lattice="5.782 0.000 0.000 0.000 5.782 0.000 0.000 0.000 5.419" Properties=species:S:1:pos:R:3 comment="PBEsol BaScNbSe2, optimized geometry" dos_ef_per_ev_atom=1.36 magmom_total_mub_per_fu=4.9 e_form_raw_mev_per_atom=1407 pbc="T T T"
Ba 0.000 0.000 0.000
Sc 0.000 0.000 2.709
Nb 2.891 2.891 2.709
Se 0.000 2.891 0.000
Se 2.891 0.000 0.000

***

# 20
30
Lattice="4.758 -8.233 0.000 4.758 8.233 0.000 -3.169 0.000 4.835" Properties=species:S:1:pos:R:3 comment="PBEsol Zr2N2O, optimized geometry" dos_ef_per_ev_atom=0.00 magmom_total_mub_per_fu=0.0 e_form_raw_mev_per_atom=-2154 pbc="T T T"
Zr 0.802 1.348 0.307
Zr 2.376 4.109 2.056
Zr -0.783 -1.348 2.724
Zr 0.806 1.344 4.416
Zr 5.556 4.109 0.362
Zr 2.390 -1.344 1.998
Zr 3.957 1.344 2.837
Zr 0.791 -4.109 4.473
Zr 5.542 -1.344 0.419
Zr 7.130 1.348 2.111
Zr 3.972 -4.109 2.780
Zr 5.546 -1.348 4.529
N -0.955 0.564 3.593
N 0.961 3.299 3.615
N 0.630 -0.564 1.176
N 3.966 5.217 1.209
N 3.802 3.299 3.638
N 2.381 0.220 3.626
N 3.966 -0.220 1.209
N 2.546 -3.299 1.197
N 2.381 -5.217 3.626
N 5.718 0.564 3.660
N 5.386 -3.299 1.220
N 7.302 -0.564 1.242
O 2.381 5.781 3.626
O 2.562 2.209 1.187
O 0.977 -2.209 3.604
O 5.370 2.209 1.231
O 3.785 -2.209 3.648
O 3.966 -5.781 1.209

***

| no. | uncorrected energy (eV per cell) |
| --- | --- |
| 1 | -28.1 |
| 2 | -26.7 |
| 3 | -72.8 |
| 4 | -73.1 |
| 5 | -21.2 |
| 6 | -91.3 |
| 7 | -20.2 |
| 8 | -44.9 |
| 9 | -107.8 |
| 10 | -27.6 |
| 11 | -26.2 |
| 12 | -24.4 |
| 13 | -66.3 |
| 14 | -38.3 |
| 15 | -60.5 |
| 16 | -290.3 |
| 17 | -28.7 |
| 18 | -20.8 |
| 19 | -20.2 |
| 20 | -307.5 |